[1]
Ba2NdRe3O12 PBE optimized geometry; symmetry = R-3m (166); formation energy from raw total energies = -2.108 eV per atom; M_tot = 0.02 μB per cell
1.0
-2.6474 0.1846 -6.4647
-4.3654 -5.2169 -1.6011
-6.7488 1.7631 -0.4257
O Ba Re Nd
12 2 3 1
Direct
0.8721 0.8721 0.4137
0.0968 0.7196 0.7196
0.1279 0.5863 0.1279
0.9032 0.2804 0.2804
0.2804 0.9032 0.2804
0.7196 0.0968 0.7196
0.7196 0.7196 0.0968
0.4137 0.8721 0.8721
0.1279 0.1279 0.5863
0.2804 0.2804 0.9032
0.8721 0.4137 0.8721
0.5863 0.1279 0.1279
0.6163 0.6163 0.6163
0.3837 0.3837 0.3837
0.5000 0.0000 0.0000
0.0000 0.5000 0.0000
0.0000 0.0000 0.5000
0.0000 0.0000 0.0000

***

[2]
BaNd2RhO5 PBE optimized geometry; symmetry = P4/mbm (127); formation energy from raw total energies = -2.541 eV per atom; M_tot = 2.03 μB per cell
1.0
5.9513 0.0000 0.0000
0.0000 6.8293 0.0000
0.0000 0.0000 6.8293
O Ba Rh Nd
10 2 2 4
Direct
0.2518 0.6392 0.8608
0.5000 0.0000 0.0000
0.5000 0.5000 0.5000
0.2518 0.3608 0.1392
0.7482 0.1392 0.6392
0.7482 0.3608 0.1392
0.2518 0.1392 0.6392
0.7482 0.8608 0.3608
0.7482 0.6392 0.8608
0.2518 0.8608 0.3608
0.0000 0.5000 0.5000
0.0000 0.0000 0.0000
0.0000 0.0000 0.5000
0.0000 0.5000 0.0000
0.5000 0.6741 0.1741
0.5000 0.8259 0.6741
0.5000 0.1741 0.3259
0.5000 0.3259 0.8259

***

- Which value of formation energy from raw total energies does entry 1 give?
  -2.108 eV per atom

***

- Which value of M_tot does entry 1 give?
  0.02 μB per cell